[1]
An optimized crystal structure of Tb2CeHo3. Source: Alexandria, functional PBE-GGA.

Computed properties:
Space-group type   Ibam (72)
D(E_F)   26.31 states/eV per cell
DFT formation energy   349 kJ/mol of formula units
Magnetic moment   2.20 Bohr magnetons per cell
Mass density   7.3 g cm⁻³

Cell: 8.8474 8.8474 8.8474 Å, 100.71 94.08 138.00°
Fractional coordinates of all 12 atoms:
Tb 0.1476 0.2432 0.3908
Tb 0.3524 0.7432 0.0955
Tb 0.6476 0.2568 0.9045
Tb 0.8524 0.7568 0.6092
Ce 0.0000 0.5000 0.5000
Ce 0.5000 0.0000 0.5000
Ho 0.0143 0.7500 0.2643
Ho 0.2500 0.2500 0.0000
Ho 0.4857 0.7500 0.7357
Ho 0.5143 0.2500 0.2643
Ho 0.7500 0.7500 0.0000
Ho 0.9857 0.2500 0.7357



[2]
An optimized crystal structure of La2MoPt. Source: Alexandria, functional PBE-GGA.

Computed properties:
Space-group type   P4mm (99)
D(E_F)   5.02 states/eV per cell
DFT formation energy   -12 kJ/mol of formula units
Magnetic moment   0.00 Bohr magnetons per cell
Mass density   8.9 g cm⁻³

Cell: 3.6166 3.6166 8.1346 Å, 90.00 90.00 90.00°
Fractional coordinates of all 4 atoms:
La 0.0000 0.0000 0.0000
La 0.5000 0.5000 0.4073
Mo 0.0000 0.0000 0.6669
Pt 0.5000 0.5000 0.7832



[3]
An optimized crystal structure of Cd2SiAg. Source: Alexandria, functional PBE-GGA.

Computed properties:
Formation energy (no corrections)   0.202 eV per atom
Space-group type   R-3m (166)
D(E_F)   1.32 states/eV per cell
Magnetic moment   0.00 Bohr magnetons per cell
Mass density   7.7 g cm⁻³

Cell: 10.5368 10.5368 10.5368 Å, 16.08 16.08 16.08°
Fractional coordinates of all 4 atoms:
Cd 0.2469 0.2469 0.2469
Cd 0.7531 0.7531 0.7531
Si 0.0000 0.0000 0.0000
Ag 0.5000 0.5000 0.5000



[4]
An optimized crystal structure of Pm2In3Ag5. Source: Alexandria, functional PBE-GGA.

Computed properties:
Space-group type   Ibam (72)
D(E_F)   10.21 states/eV per cell
DFT formation energy   -201 kJ/mol of formula units
Magnetic moment   0.00 Bohr magnetons per cell
Mass density   8.3 g cm⁻³

Cell: 9.2891 9.2891 9.2891 Å, 99.00 93.62 141.30°
Fractional coordinates of all 20 atoms:
Pm 0.2476 0.1243 0.3719
Pm 0.2524 0.6243 0.8767
Pm 0.7476 0.3757 0.1233
Pm 0.7524 0.8757 0.6281
In 0.1379 0.8705 0.0084
In 0.2500 0.7500 0.5000
In 0.3621 0.3705 0.7326
In 0.6379 0.6295 0.2674
In 0.7500 0.2500 0.5000
In 0.8621 0.1295 0.9916
Ag 0.1489 0.3755 0.5244
Ag 0.2500 0.2500 0.0000
Ag 0.2500 0.5054 0.2554
Ag 0.2500 0.9946 0.7446
Ag 0.3511 0.8755 0.2267
Ag 0.6489 0.1245 0.7733
Ag 0.7500 0.0054 0.2554
Ag 0.7500 0.4946 0.7446
Ag 0.7500 0.7500 0.0000
Ag 0.8511 0.6245 0.4756



- The lowest mass density belongs to which entry?
  Tb2CeHo3